This record from Alexandria describes crystalline Pm6Sm2Tm3 at its relaxed geometry. The functional is PBE.

The structure in POSCAR format:
```
Pm6Sm2Tm3
1.0
5.6400 -1.6553 1.6855
-1.6041 7.6979 3.2411
2.5533 6.9397 13.7244
Pm Sm Tm
6 2 3
Direct
0.1677 0.5958 0.0963
0.3462 0.1846 0.4547
0.9424 0.4416 0.6499
0.0576 0.5584 0.3501
0.6538 0.8154 0.5453
0.8323 0.4042 0.9037
0.4586 0.2713 0.1856
0.5414 0.7287 0.8144
0.7421 0.8978 0.2781
0.2579 0.1022 0.7219
0.0000 0.0000 0.0000
```

Output
Raw total energy, eV/atom: -4.59
Formation energy from the elements, meV/atom: 77
Symmetry: P-1